PBE LaSe2NF, optimized geometry; E_form (uncorrected) = 1.26 eV/f.u.; crystal system = tetragonal; ΔE to the lowest computed polymorph = 390 meV per atom; space-group type = P4/mmm, No. 123
1.0
-2.829 -4.111 -3.583
4.289 -4.171 1.399
-2.353 -1.298 3.347
Se La F N
2 1 1 1
Cartesian
2.144 -2.085 0.699
-1.415 -2.056 -1.792
0.000 0.000 0.000
-0.447 -4.790 0.581
-1.177 -0.649 1.673

---

PBE K3Ag2Au, optimized geometry; calculated formation energy = -84 meV per atom; crystal system = orthorhombic; space-group type = Pnma, No. 62
1.0
-3.104 -0.774 3.662
9.851 -5.411 7.207
2.928 12.020 5.023
Ag K Au
8 12 4
Cartesian
0.196 3.280 2.474
10.058 7.091 11.639
3.312 -0.872 7.466
-0.383 -1.256 4.252
2.285 4.092 7.645
7.390 1.742 8.247
9.479 2.554 13.418
6.363 6.707 8.426
7.351 -4.336 10.158
7.648 0.040 11.334
6.558 7.453 11.977
4.771 2.012 6.084
3.117 -1.618 3.915
6.840 -1.439 7.108
2.027 5.795 4.557
4.904 3.823 9.808
0.564 1.707 5.681
9.111 4.128 10.210
2.835 7.273 8.783
2.324 10.170 5.734
4.632 5.325 6.666
5.043 0.510 9.225
0.925 0.547 2.514
8.750 5.287 13.377

---

PBE TlInGaBi2, optimized geometry; calculated formation energy = 45 meV per atom; crystal system = trigonal; space-group type = P3m1, No. 156
1.0
-3.556 -2.046 -2.732
0.941 -1.731 4.518
-5.229 5.052 3.024
Ga Bi Tl In
1 2 1 1
Cartesian
-3.870 1.364 4.017
-6.040 1.907 1.988
-1.802 -0.635 2.820
-5.192 5.017 3.003
-4.014 -0.051 0.816

---

PBE Ba6In2Pt, optimized geometry; calculated formation energy = -381 meV per atom; crystal system = monoclinic; space-group type = P2_1/c, No. 14
1.0
-4.922 -6.454 0.209
3.449 -2.368 8.076
-8.225 6.412 5.392
Ba In Pt
12 4 2
Cartesian
-7.334 -1.227 4.552
0.666 -3.659 6.904
-0.235 -1.567 2.983
-6.232 1.055 8.370
-3.466 -3.466 5.307
-10.364 1.248 6.773
-2.364 -1.184 9.126
-3.401 1.001 4.885
-3.044 -6.433 9.379
-9.463 -0.844 10.694
-6.297 -3.412 8.792
-6.654 4.023 4.299
-9.519 -2.369 7.433
-3.957 -1.653 2.264
-0.179 -0.042 6.245
-5.742 -0.758 11.414
-0.737 -4.411 4.143
-4.112 3.206 2.696

---

PBE CaPuIn, optimized geometry; calculated formation energy = 131 meV per atom; crystal system = monoclinic; ΔE to the lowest computed polymorph = 193 meV per atom; space-group type = C2/m, No. 12
1.0
-1.723 2.662 1.646
-3.842 -4.910 0.042
2.413 -2.856 7.146
In Ca Pu
2 2 2
Cartesian
-3.271 -1.168 2.342
0.120 -3.937 6.493
0.065 -1.069 1.796
-3.216 -4.036 7.038
-1.773 -3.547 3.880
-1.378 -1.558 4.954

---

PBE ZnSBrCl2, optimized geometry; E_form (uncorrected) = 2.70 eV/f.u.; crystal system = tetragonal; ΔE to the lowest computed polymorph = 473 meV per atom; space-group type = P4/mmm, No. 123
1.0
-1.634 4.911 -0.401
-1.339 -0.849 -4.943
-4.518 -1.384 1.462
Cl Zn Br S
2 1 1 1
Cartesian
-0.670 -0.425 -2.471
-0.817 2.455 -0.201
-3.746 1.338 -1.941
0.000 0.000 0.000
-2.259 -0.692 0.731